# PaTeAs, optimized geometry, DFT PBE
data_PaTeAs
_cell_length_a 6.981
_cell_length_b 6.981
_cell_length_c 6.981
_cell_angle_alpha 90.00
_cell_angle_beta 90.00
_cell_angle_gamma 90.00
_space_group_name_H-M_alt 'F -4 3 m'
_space_group_IT_number 216
_space_group_name_Hall 'F -4 2 3'
loop_
_atom_site_label
_atom_site_fract_x
_atom_site_fract_y
_atom_site_fract_z
_atom_site_occupancy
Pa1 0.000 0.000 0.000 1
Te1 0.250 0.250 0.750 1
As1 0.000 0.000 0.500 1
# - Energy: -70.5 eV/cell